1.
# Sm2Zn3GaPt4, relaxed, DFT PBE
# DFT total energy: -48.55 eV per formula unit
# crystal system: tetragonal
data_Sm2Zn3GaPt4
_symmetry_space_group_name_H-M 'P -4 m 2'
_symmetry_Int_Tables_number 115
_cell_length_a 4.225
_cell_length_b 4.225
_cell_length_c 10.642
_cell_angle_alpha 90.00
_cell_angle_beta 90.00
_cell_angle_gamma 90.00
loop_
_symmetry_equiv_pos_as_xyz
'x,y,z'
'y,-x,-z'
'-x,-y,z'
'-y,x,-z'
'-x,y,z'
'-y,-x,-z'
'x,-y,z'
'y,x,-z'
loop_
_atom_site_label
_atom_site_fract_x
_atom_site_fract_y
_atom_site_fract_z
_atom_site_occupancy
Sm1 0.000 0.500 0.242 1
Zn1 0.000 0.500 0.867 1
Zn2 0.500 0.500 0.500 1
Ga1 0.000 0.000 0.500 1
Pt1 0.000 0.000 0.000 1
Pt2 0.000 0.500 0.635 1
Pt3 0.500 0.500 0.000 1

***

2.
# HfAs2Pb, relaxed, DFT PBE
# DFT total energy: -24.73 eV per formula unit
# crystal system: trigonal
data_HfAs2Pb
_symmetry_space_group_name_H-M 'R 3 m'
_symmetry_Int_Tables_number 160
_symmetry_space_group_name_Hall 'R 3 -2"'
_cell_length_a 3.9054
_cell_length_b 3.9054
_cell_length_c 22.2527
_cell_angle_alpha 90.00
_cell_angle_beta 90.00
_cell_angle_gamma 120.00
loop_
_atom_site_label
_atom_site_fract_x
_atom_site_fract_y
_atom_site_fract_z
_atom_site_occupancy
Hf1 0.0000 0.0000 0.0000 1
As1 0.0000 0.0000 0.4003 1
As2 0.0000 0.0000 0.5940 1
Pb1 0.0000 0.0000 0.8349 1

***

3.
# TmBeGa, relaxed, DFT PBE
# DFT total energy: -12.46 eV per formula unit
# crystal system: hexagonal
# E above lowest polymorph: 0.009 eV/atom
data_TmBeGa
_symmetry_space_group_name_H-M 'P -6 m 2'
_symmetry_Int_Tables_number 187
_symmetry_space_group_name_Hall 'P -6 2'
_cell_length_a 4.1400
_cell_length_b 4.1400
_cell_length_c 3.5573
_cell_angle_alpha 90.00
_cell_angle_beta 90.00
_cell_angle_gamma 120.00
loop_
_atom_site_label
_atom_site_fract_x
_atom_site_fract_y
_atom_site_fract_z
_atom_site_occupancy
Tm1 0.0000 0.0000 0.0000 1
Be1 0.3333 0.6667 0.5000 1
Ga1 0.6667 0.3333 0.5000 1

***

4.
# Y3MoPd, relaxed, DFT PBE
# DFT total energy: -33.19 eV per formula unit
# crystal system: cubic
# E above lowest polymorph: 0.000 eV/atom
data_Y3MoPd
_symmetry_space_group_name_H-M 'P m -3 m'
_symmetry_Int_Tables_number 221
_symmetry_space_group_name_Hall '-P 4 2 3'
_cell_length_a 5.246
_cell_length_b 5.246
_cell_length_c 5.246
_cell_angle_alpha 90.00
_cell_angle_beta 90.00
_cell_angle_gamma 90.00
loop_
_atom_site_label
_atom_site_fract_x
_atom_site_fract_y
_atom_site_fract_z
_atom_site_occupancy
Y1 0.000 0.000 0.500 1
Mo1 0.000 0.000 0.000 1
Pd1 0.500 0.500 0.500 1

***

> Which value of DFT total energy does entry 3 give?

-12.46 eV per formula unit

***

Please write out number 1 again, unchanged.
# Sm2Zn3GaPt4, relaxed, DFT PBE
# DFT total energy: -48.55 eV per formula unit
# crystal system: tetragonal
data_Sm2Zn3GaPt4
_symmetry_space_group_name_H-M 'P -4 m 2'
_symmetry_Int_Tables_number 115
_cell_length_a 4.225
_cell_length_b 4.225
_cell_length_c 10.642
_cell_angle_alpha 90.00
_cell_angle_beta 90.00
_cell_angle_gamma 90.00
loop_
_symmetry_equiv_pos_as_xyz
'x,y,z'
'y,-x,-z'
'-x,-y,z'
'-y,x,-z'
'-x,y,z'
'-y,-x,-z'
'x,-y,z'
'y,x,-z'
loop_
_atom_site_label
_atom_site_fract_x
_atom_site_fract_y
_atom_site_fract_z
_atom_site_occupancy
Sm1 0.000 0.500 0.242 1
Zn1 0.000 0.500 0.867 1
Zn2 0.500 0.500 0.500 1
Ga1 0.000 0.000 0.500 1
Pt1 0.000 0.000 0.000 1
Pt2 0.000 0.500 0.635 1
Pt3 0.500 0.500 0.000 1